[1]
Dy2PdPb PBE relaxed; DOS(E_F) = 1.665 states/eV/f.u.; ΔE_f = -0.668 eV/atom; energy = -5.19 eV/atom
1.0
3.583 0.000 0.000
0.000 3.583 0.000
0.000 0.000 7.770
Dy Pb Pd
2 1 1
direct
0.000 0.000 0.216 Dy
0.000 0.000 0.784 Dy
0.500 0.500 0.500 Pb
0.500 0.500 0.000 Pd


[2]
PmAuO2 PBE relaxed; E_form (uncorrected) = -2.149 eV per atom; DOS(E_F) = 0.000 states/eV/f.u.; energy = -6.64 eV/atom
1.0
-3.666 -0.581 -0.525
-2.057 -1.571 2.712
-3.105 4.782 3.006
O Au Pm
2 1 1
direct
0.888 0.888 0.336 O
0.112 0.112 0.664 O
0.000 0.000 0.000 Au
0.500 0.500 0.500 Pm


[3]
ZrCoRu2 PBE relaxed; DOS(E_F) = 4.473 states/eV/f.u.; distance to the lowest polymorph of the same formula = 400.0 meV per atom; ΔE_f = 0.266 eV/atom; energy = -8.29 eV/atom
1.0
-5.167 2.262 7.210
-5.809 -0.448 7.060
-3.527 0.370 8.439
Co Ru Zr
1 2 1
direct
0.750 0.750 0.750 Co
0.491 0.491 0.491 Ru
0.009 0.009 0.009 Ru
0.250 0.250 0.250 Zr


[4]
NaAlSnTe3 PBE relaxed; E_form (uncorrected) = -0.496 eV per atom; DOS(E_F) = 0.370 states/eV/f.u.; energy = -3.58 eV/atom
1.0
-0.641 2.850 3.306
-6.970 3.975 -4.778
-4.913 -8.198 6.116
Te Sn Na Al
6 2 2 2
direct
0.750 0.197 0.547 Te
0.750 0.426 0.144 Te
0.250 0.574 0.856 Te
0.250 0.803 0.453 Te
0.750 0.934 0.154 Te
0.250 0.066 0.846 Te
0.250 0.656 0.125 Sn
0.750 0.344 0.875 Sn
0.750 0.818 0.851 Na
0.250 0.182 0.149 Na
0.250 0.067 0.621 Al
0.750 0.933 0.379 Al


What did the third record say?
ZrCoRu2 PBE relaxed; DOS(E_F) = 4.473 states/eV/f.u.; distance to the lowest polymorph of the same formula = 400.0 meV per atom; ΔE_f = 0.266 eV/atom; energy = -8.29 eV/atom
1.0
-5.167 2.262 7.210
-5.809 -0.448 7.060
-3.527 0.370 8.439
Co Ru Zr
1 2 1
direct
0.750 0.750 0.750 Co
0.491 0.491 0.491 Ru
0.009 0.009 0.009 Ru
0.250 0.250 0.250 Zr


What is the energy in the second record? -6.64 eV/atom


Please write out number 4 again, unchanged.
NaAlSnTe3 PBE relaxed; E_form (uncorrected) = -0.496 eV per atom; DOS(E_F) = 0.370 states/eV/f.u.; energy = -3.58 eV/atom
1.0
-0.641 2.850 3.306
-6.970 3.975 -4.778
-4.913 -8.198 6.116
Te Sn Na Al
6 2 2 2
direct
0.750 0.197 0.547 Te
0.750 0.426 0.144 Te
0.250 0.574 0.856 Te
0.250 0.803 0.453 Te
0.750 0.934 0.154 Te
0.250 0.066 0.846 Te
0.250 0.656 0.125 Sn
0.750 0.344 0.875 Sn
0.750 0.818 0.851 Na
0.250 0.182 0.149 Na
0.250 0.067 0.621 Al
0.750 0.933 0.379 Al


Among the records above, which one has the highest energy? NaAlSnTe3